Arrangement w

{"formula": "As2PtBrN", "functional": "GGA-PBE", "state": "optimized geometry", "dos_ef_per_ev_cell": 2.6, "lattice": [[4.4318, 0.0000, 0.0000], [0.0000, 4.4318, 0.0000], [0.0000, 0.0000, 4.2876]], "species": ["Pt", "As", "As", "N", "Br"], "fractional_positions": [[0.5000, 0.5000, 0.5000], [0.0000, 0.5000, 0.0000], [0.5000, 0.0000, 0.0000], [0.0000, 0.0000, 0.0000], [0.0000, 0.0000, 0.5000]]}



Arrangement x

{"formula": "As2PtBrN", "functional": "GGA-PBE", "state": "optimized geometry", "dos_ef_per_ev_cell": 2.1, "lattice": [[-0.3141, -4.4077, -1.9984], [3.1000, -1.7211, 3.3088], [-4.2515, -1.2162, 3.3505]], "species": ["Br", "As", "N", "As", "Pt"], "fractional_positions": [[0.0000, 0.0000, 0.5000], [0.0000, 0.5000, 0.0000], [0.5000, 0.5000, 0.5000], [0.5000, 0.0000, 0.0000], [0.0000, 0.0000, 0.0000]]}



Most stable: arrangement w



Arrangement w

{"formula": "AsPtBr2N", "functional": "GGA-PBE", "state": "optimized geometry", "dos_ef_per_ev_cell": 3.4, "lattice": [[4.4361, 0.0000, 0.0000], [0.0000, 4.4361, 0.0000], [0.0000, 0.0000, 4.6127]], "species": ["As", "Pt", "N", "Br", "Br"], "fractional_positions": [[0.0000, 0.0000, 0.5000], [0.5000, 0.5000, 0.5000], [0.0000, 0.0000, 0.0000], [0.0000, 0.5000, 0.0000], [0.5000, 0.0000, 0.0000]]}



Arrangement x

{"formula": "AsPtBr2N", "functional": "GGA-PBE", "state": "optimized geometry", "dos_ef_per_ev_cell": 10.2, "lattice": [[-0.6818, -4.8003, -1.8029], [4.7279, 0.1156, -2.0957], [1.8282, -1.7720, 4.0268]], "species": ["As", "Br", "N", "Br", "Pt"], "fractional_positions": [[0.0000, 0.0000, 0.5000], [0.5000, 0.0000, 0.0000], [0.5000, 0.5000, 0.5000], [0.0000, 0.5000, 0.0000], [0.0000, 0.0000, 0.0000]]}



Most stable: arrangement w